MnO | meta-GGA SCAN | single point on PBEsol structure

Structure (POSCAR):
```
MnO
1.0
0.0000 2.1656 2.1656
2.1656 0.0000 2.1656
2.1656 2.1656 0.0000
Mn O
1 1
direct
0.0000 0.0000 0.0000
0.5000 0.5000 0.5000
```

The value obtained for the raw total energy is -14.115 eV/atom. The value obtained for the total magnetization is 4.94 μB per cell. The calculated volume is 10.2 Å³ per atom. The calculation puts the energy relative to the elements, uncorrected at -1.872 eV per atom. For the mass density, the calculation gives 5.799 Mg/m³.